# 1
Density functional theory data (SCAN) for a crystal of SrV4O10 relaxed with PBEsol.

Cell lengths 6.0907, 7.3076, 8.9219 Å; angles 89.90, 87.61, 72.67 degrees
With the nearest neighbours (Å) after each atom.
Positions (direct):
Sr 0.8187 0.2939 0.9792  7 O 2.53-2.61
Sr 0.1813 0.7061 0.0208  7 O 2.53-2.61
V 0.8753 0.5340 0.3404  2 O 1.66-1.78
V 0.5355 0.1187 0.6629  2 O 1.62-1.81
V 0.4645 0.8813 0.3371  2 O 1.62-1.81
V 0.1247 0.4660 0.6596  2 O 1.66-1.78
V 0.8739 0.0299 0.3404  2 O 1.66-1.81
V 0.5316 0.6144 0.6615  2 O 1.65-1.82
V 0.4684 0.3856 0.3385  2 O 1.65-1.82
V 0.1261 0.9701 0.6596  2 O 1.66-1.81
O 0.9228 0.0123 0.1559  1 V 1.66
O 0.9168 0.5302 0.1552  1 V 1.66
O 0.8353 0.5391 0.6016  2 V 1.78-1.82
O 0.8337 0.0431 0.5962  2 V 1.81
O 0.8017 0.3008 0.3616  3 V 1.89-1.96
O 0.7989 0.8001 0.3696  3 V 1.88-1.98
O 0.5614 0.1345 0.8417  1 V 1.62
O 0.5462 0.5876 0.8451  1 V 1.65
O 0.5313 0.6181 0.3937  3 V 1.92-2.04
O 0.5293 0.1176 0.3739  3 V 1.91-2.01
O 0.4707 0.8824 0.6261  3 V 1.91-2.01
O 0.4687 0.3819 0.6063  3 V 1.92-2.04
O 0.4538 0.4124 0.1549  1 V 1.65
O 0.4386 0.8655 0.1583  1 V 1.62
O 0.2011 0.1999 0.6304  3 V 1.88-1.98
O 0.1983 0.6992 0.6384  3 V 1.89-1.96
O 0.1663 0.9569 0.4038  2 V 1.81
O 0.1647 0.4609 0.3984  2 V 1.78-1.82
O 0.0832 0.4698 0.8448  1 V 1.66
O 0.0772 0.9877 0.8441  1 V 1.66

Computed properties:
- Raw formation energy: -2.770 eV/atom
- Calculated density: 3.958 g/cm³
- DFT total energy: -392.2 eV/cell



# 2
Density functional theory data (SCAN) for a crystal of LiLaPb2 relaxed with PBEsol.

Cell lengths 4.4979, 4.9991, 5.8530 Å; angles 109.03, 90.00, 116.74 degrees
With the nearest neighbours (Å) after each atom.
Positions (direct):
Pb 0.7365 0.4729 0.6788  3 Li 2.90-3.00, 2 Pb 3.14
Pb 0.2635 0.5271 0.3212  3 Li 2.90-3.00, 2 Pb 3.14
La 0.5000 0.0000 0.0000  6 Pb 3.30, 4 Li 3.69
Li 0.0000 0.0000 0.5000  6 Pb 2.90-3.00

Computed properties:
- Calculated density: 8.502 g/cm³
- Formation energy: -0.627 eV/atom
- DFT total energy: -199.6 eV/cell



# 3
Density functional theory data (SCAN) for a crystal of AsPtRh2 relaxed with PBEsol.

Cell lengths 2.8895, 4.5490, 4.5490 Å; angles 106.68, 90.00, 90.00 degrees
With the nearest neighbours (Å) after each atom.
Positions (direct):
As 0.5000 0.0000 0.0000  8 Rh 2.69, 2 Pt 2.72, 2 As 2.89
Rh 0.0000 0.5000 0.0000  4 Pt 2.69, 4 As 2.69, 4 Rh 2.72-2.89
Rh 0.0000 0.0000 0.5000  4 As 2.69, 4 Pt 2.69, 4 Rh 2.72-2.89
Pt 0.5000 0.5000 0.5000  8 Rh 2.69, 2 As 2.72, 2 Pt 2.89

Computed properties:
- Calculated density: 13.794 g/cm³
- Formation energy: -0.161 eV/atom
- DFT total energy: -158.6 eV/cell



# 4
Density functional theory data (SCAN) for a crystal of Mg2TiO4 relaxed with PBEsol.

Cell lengths 5.9355, 5.9769, 5.9769 Å; angles 59.89, 60.23, 60.23 degrees
With the nearest neighbours (Å) after each atom.
Positions (direct):
Mg 0.8640 0.8860 0.3860  4 O 1.96-2.01
Mg 0.0000 0.5000 0.0000  6 O 2.05-2.11
Mg 0.5000 0.5000 0.0000  6 O 2.05-2.11
Mg 0.1360 0.1140 0.6140  4 O 1.96-2.01
Ti 0.5000 0.0000 0.0000  6 O 1.93-2.00
Ti 0.5000 0.5000 0.5000  6 O 1.93-2.00
O 0.2775 0.7479 0.2479  2 Ti 2.00, 2 Mg 2.01-2.11
O 0.7268 0.7479 0.2479  2 Ti 2.00, 2 Mg 2.01-2.11
O 0.7267 0.2877 0.2590  1 Ti 1.93, 3 Mg 1.96-2.05
O 0.7267 0.7590 0.7877  1 Ti 1.93, 3 Mg 1.96-2.05
O 0.2733 0.2410 0.2123  1 Ti 1.93, 3 Mg 1.96-2.05
O 0.2732 0.2521 0.7521  2 Ti 2.00, 2 Mg 2.01-2.11
O 0.2733 0.7123 0.7410  1 Ti 1.93, 3 Mg 1.96-2.05
O 0.7225 0.2521 0.7521  2 Ti 2.00, 2 Mg 2.01-2.11

Computed properties:
- Raw formation energy: -3.162 eV/atom
- Calculated density: 3.546 g/cm³
- ΔE to the lowest computed polymorph: 0.15 eV/f.u.
- DFT total energy: -146.1 eV/cell



# 5
Density functional theory data (SCAN) for a crystal of HPb3ClO3 relaxed with PBEsol.

Cell lengths 5.8015, 6.8947, 15.0041 Å; angles 90.00, 90.00, 90.00 degrees
With the nearest neighbours (Å) after each atom.
Positions (direct):
Cl 0.0000 0.0375 0.5597  1 H 2.12
Cl 0.0000 0.9625 0.0597  1 H 2.12
Cl 0.5000 0.0420 0.8602  1 H 2.25
Cl 0.5000 0.9580 0.3602  1 H 2.25
H 0.5000 0.2221 0.7353  1 O 0.99
H 0.5000 0.7779 0.2353  1 O 0.99
H 0.0000 0.2130 0.4434  1 O 1.00
H 0.0000 0.7870 0.9434  1 O 1.00
O 0.2488 0.4622 0.0416  4 Pb 2.22-2.39
O 0.7512 0.5378 0.5416  4 Pb 2.22-2.39
O 0.2488 0.5378 0.5416  4 Pb 2.22-2.39
O 0.7512 0.4622 0.0416  4 Pb 2.22-2.39
O 0.2502 0.2776 0.2104  4 Pb 2.20-2.39
O 0.7498 0.7224 0.7104  4 Pb 2.20-2.39
O 0.2502 0.7224 0.7104  4 Pb 2.20-2.39
O 0.7498 0.2776 0.2104  4 Pb 2.20-2.39
O 0.5000 0.3395 0.6970  1 H 0.99
O 0.5000 0.6605 0.1970  1 H 0.99
O 0.0000 0.2929 0.3880  1 H 1.00
O 0.0000 0.7071 0.8880  1 H 1.00
Pb 0.5000 0.4006 0.3054  3 O 2.20-2.42
Pb 0.5000 0.5994 0.8054  3 O 2.20-2.42
Pb 0.5000 0.2069 0.0882  4 O 2.39
Pb 0.5000 0.7931 0.5882  4 O 2.39
Pb 0.5000 0.2844 0.5424  3 O 2.28-2.35
Pb 0.5000 0.7156 0.0424  3 O 2.28-2.35
Pb 0.0000 0.4681 0.6648  4 O 2.38-2.39
Pb 0.0000 0.5319 0.1648  4 O 2.38-2.39
Pb 0.0000 0.3854 0.9349  3 O 2.22-2.33
Pb 0.0000 0.6146 0.4349  3 O 2.22-2.33
Pb 0.0000 0.0644 0.2722  3 O 2.26-2.35
Pb 0.0000 0.9356 0.7722  3 O 2.26-2.35

Computed properties:
- Calculated density: 7.814 g/cm³
- DFT total energy: -1068.0 eV/cell



# 6
Density functional theory data (SCAN) for a crystal of Sn2H2SO5F2 relaxed with PBEsol.

Cell lengths 6.9962, 7.2116, 12.7595 Å; angles 90.00, 90.00, 90.43 degrees
With the nearest neighbours (Å) after each atom.
Positions (direct):
Sn 0.6908 0.1499 0.3125  2 O 2.19-2.44, 3 F 2.37-2.42
Sn 0.3092 0.3501 0.8125  2 O 2.19-2.44, 3 F 2.37-2.42
Sn 0.3092 0.8501 0.6875  2 O 2.19-2.44, 3 F 2.37-2.42
Sn 0.6908 0.6499 0.1875  2 O 2.19-2.44, 3 F 2.37-2.42
Sn 0.7620 0.6663 0.4845  2 F 2.16-2.23, 1 O 2.33
Sn 0.2380 0.8337 0.9845  2 F 2.16-2.23, 1 O 2.33
Sn 0.2380 0.3337 0.5155  2 F 2.16-2.23, 1 O 2.33
Sn 0.7620 0.1663 0.0155  2 F 2.16-2.23, 1 O 2.33
H 0.0745 0.0429 0.3210  1 O 1.02
H 0.9255 0.4571 0.8210  1 O 1.02
H 0.9255 0.9571 0.6790  1 O 1.02
H 0.0745 0.5429 0.1790  1 O 1.02
H 0.0704 0.2439 0.2637  1 O 1.01
H 0.9296 0.2561 0.7637  1 O 1.01
H 0.9296 0.7561 0.7363  1 O 1.01
H 0.0704 0.7439 0.2363  1 O 1.01
S 0.7578 0.2300 0.5808  4 O 1.47-1.51
S 0.2422 0.2700 0.0808  4 O 1.47-1.51
S 0.2422 0.7700 0.4192  4 O 1.47-1.51
S 0.7578 0.7300 0.9192  4 O 1.47-1.51
O 0.7965 0.1369 0.6829  1 S 1.49, 2 H 1.59-1.63
O 0.2035 0.3631 0.1829  1 S 1.49, 2 H 1.59-1.63
O 0.2035 0.8631 0.3171  1 S 1.49, 2 H 1.59-1.63
O 0.7965 0.6369 0.8171  1 S 1.49, 2 H 1.59-1.63
O 0.9168 0.3669 0.5587  1 S 1.51
O 0.0832 0.1331 0.0587  1 S 1.51
O 0.0832 0.6331 0.4413  1 S 1.51
O 0.9168 0.8669 0.9413  1 S 1.51
O 0.7507 0.0872 0.4972  1 S 1.48
O 0.2493 0.4128 0.9972  1 S 1.48
O 0.2493 0.9128 0.5028  1 S 1.48
O 0.7507 0.5872 0.0028  1 S 1.48
O 0.5805 0.3385 0.5860  1 S 1.47
O 0.4195 0.1615 0.0860  1 S 1.47
O 0.4195 0.6615 0.4140  1 S 1.47
O 0.5805 0.8385 0.9140  1 S 1.47
O 0.0034 0.1654 0.3186  2 H 1.01-1.02
O 0.9966 0.3346 0.8186  2 H 1.01-1.02
O 0.9966 0.8346 0.6814  2 H 1.01-1.02
O 0.0034 0.6654 0.1814  2 H 1.01-1.02
F 0.7443 0.9654 0.1405  2 Sn 2.16-2.38
F 0.2557 0.5346 0.6405  2 Sn 2.16-2.38
F 0.2557 0.0346 0.8595  2 Sn 2.16-2.38
F 0.7443 0.4654 0.3595  2 Sn 2.16-2.38
F 0.7773 0.3359 0.1619  3 Sn 2.23-2.42
F 0.2227 0.1641 0.6619  3 Sn 2.23-2.42
F 0.2227 0.6641 0.8381  3 Sn 2.23-2.42
F 0.7773 0.8359 0.3381  3 Sn 2.23-2.42

Computed properties:
- Calculated density: 4.019 g/cm³
- DFT total energy: -584.2 eV/cell



# 7
Density functional theory data (SCAN) for a crystal of SrPbAu2 relaxed with PBEsol.

Cell lengths 4.1675, 4.4260, 5.8743 Å; angles 90.00, 110.78, 90.00 degrees
With the nearest neighbours (Å) after each atom.
Positions (direct):
Pb 0.1072 0.0000 0.2144  7 Au 3.01-3.24
Sr 0.3959 0.5000 0.7917  7 Au 3.06-3.20
Au 0.8327 0.0000 0.6654  2 Au 2.81, 1 Pb 3.01, 4 Sr 3.12
Au 0.6746 0.5000 0.3492  2 Au 2.81, 1 Sr 3.06, 4 Pb 3.13

Computed properties:
- Calculated density: 11.289 g/cm³
- Formation energy: -0.588 eV/atom
- DFT total energy: -238.7 eV/cell



# 8
Density functional theory data (SCAN) for a crystal of Li3CdCu relaxed with PBEsol.

Cell lengths 4.5592, 4.5592, 4.5592 Å; angles 90.00, 90.00, 90.00 degrees
With the nearest neighbours (Å) after each atom.
Positions (direct):
Li 0.0000 0.5000 0.0000  2 Cu 2.28
Li 0.0000 0.0000 0.5000  2 Cu 2.28
Li 0.5000 0.0000 0.0000  2 Cu 2.28
Cu 0.0000 0.0000 0.0000  6 Li 2.28
Cd 0.5000 0.5000 0.5000  12 Li 3.22

Computed properties:
- Calculated density: 3.448 g/cm³
- Formation energy: 0.171 eV/atom
- DFT total energy: -51.9 eV/cell



# 9
Density functional theory data (SCAN) for a crystal of BeCdRe2 relaxed with PBEsol.

Cell lengths 2.8717, 2.8717, 6.8227 Å; angles 90.00, 90.00, 90.00 degrees
With the nearest neighbours (Å) after each atom.
Positions (direct):
Re 0.0000 0.0000 0.8187  4 Be 2.38, 1 Re 2.47
Re 0.0000 0.0000 0.1813  4 Be 2.38, 1 Re 2.47
Be 0.5000 0.5000 0.0000  8 Re 2.38
Cd 0.5000 0.5000 0.5000  4 Cd 2.87, 8 Re 2.98

Computed properties:
- Calculated density: 14.575 g/cm³
- Formation energy: 0.353 eV/atom
- ΔE to the lowest computed polymorph: 0.00 eV/f.u.
- DFT total energy: -175.5 eV/cell



# 10
Density functional theory data (SCAN) for a crystal of CsRbCl2 relaxed with PBEsol.

Cell lengths 4.9764, 4.9764, 9.9387 Å; angles 75.50, 75.50, 60.00 degrees
With the nearest neighbours (Å) after each atom.
Positions (direct):
Cs 0.0000 0.0000 0.0000  2 Cl 3.07
Rb 0.5000 0.5000 0.5000  6 Cl 3.33
Cl 0.8924 0.8924 0.3227  1 Cs 3.07, 3 Rb 3.33
Cl 0.1076 0.1076 0.6773  1 Cs 3.07, 3 Rb 3.33

Computed properties:
- Raw formation energy: -1.855 eV/atom
- Calculated density: 2.354 g/cm³
- ΔE to the lowest computed polymorph: 1.21 eV/f.u.
- DFT total energy: -81.9 eV/cell



# 11
Density functional theory data (SCAN) for a crystal of NaSr2Nb5O15 relaxed with PBEsol.

Cell lengths 4.0128, 12.5238, 12.5238 Å; angles 89.87, 90.00, 90.00 degrees
With the nearest neighbours (Å) after each atom.
Positions (direct):
Na 0.1001 0.3354 0.3354  3 O 2.41
Na 0.1001 0.6646 0.6646  3 O 2.41
Sr 0.9600 0.1682 0.8318  4 O 2.56-2.80
Sr 0.9600 0.8318 0.1682  4 O 2.56-2.80
Sr 0.9459 0.0000 0.5000  12 O 2.62-2.88
Sr 0.9459 0.5000 0.0000  12 O 2.62-2.88
Nb 0.4528 0.7884 0.4206  5 O 1.89-2.04
Nb 0.4528 0.2116 0.5794  5 O 1.89-2.04
Nb 0.4536 0.7096 0.9209  5 O 1.87-2.01
Nb 0.4536 0.2904 0.0791  5 O 1.87-2.01
Nb 0.4536 0.9209 0.7096  5 O 1.87-2.01
Nb 0.4536 0.0791 0.2904  5 O 1.87-2.01
Nb 0.4528 0.4206 0.7884  5 O 1.89-2.04
Nb 0.4528 0.5794 0.2116  5 O 1.89-2.04
Nb 0.4811 0.5000 0.5000  5 O 1.82-1.99
Nb 0.4551 0.0000 0.0000  5 O 1.86-2.00
O 0.4057 0.2186 0.2186  2 Nb 1.97
O 0.4057 0.7814 0.7814  2 Nb 1.97
O 0.4194 0.2686 0.7314  2 Nb 2.04
O 0.4194 0.7314 0.2686  2 Nb 2.04
O 0.9208 0.7999 0.4106  1 Nb 1.89
O 0.9208 0.2001 0.5894  1 Nb 1.89
O 0.9188 0.7020 0.9261  1 Nb 1.87
O 0.9188 0.2980 0.0739  1 Nb 1.87
O 0.9188 0.9261 0.7020  1 Nb 1.87
O 0.9188 0.0739 0.2980  1 Nb 1.87
O 0.9208 0.4106 0.7999  1 Nb 1.89
O 0.9208 0.5894 0.2001  1 Nb 1.89
O 0.4064 0.9903 0.1585  2 Nb 2.00
O 0.4064 0.0097 0.8415  2 Nb 2.00
O 0.4129 0.5006 0.6575  2 Nb 1.93-1.99
O 0.4129 0.4994 0.3425  2 Nb 1.93-1.99
O 0.4129 0.6575 0.5006  2 Nb 1.93-1.99
O 0.4129 0.3425 0.4994  2 Nb 1.93-1.99
O 0.4064 0.1585 0.9903  2 Nb 2.00
O 0.4064 0.8415 0.0097  2 Nb 2.00
O 0.4097 0.9381 0.3665  2 Nb 2.00-2.01
O 0.4097 0.0619 0.6335  2 Nb 2.00-2.01
O 0.4103 0.5636 0.8610  2 Nb 1.98-2.02
O 0.4103 0.4364 0.1390  2 Nb 1.98-2.02
O 0.4103 0.8610 0.5636  2 Nb 1.98-2.02
O 0.4103 0.1390 0.4364  2 Nb 1.98-2.02
O 0.4097 0.3665 0.9381  2 Nb 2.00-2.01
O 0.4097 0.6335 0.0619  2 Nb 2.00-2.01
O 0.9353 0.5000 0.5000  1 Nb 1.82
O 0.9191 0.0000 0.0000  1 Nb 1.86

Computed properties:
- Raw formation energy: -2.873 eV/atom
- Calculated density: 4.764 g/cm³
- DFT total energy: -747.9 eV/cell



# 12
Density functional theory data (SCAN) for a crystal of PuTcB2 relaxed with PBEsol.

Cell lengths 5.3449, 5.6788, 6.3293 Å; angles 90.00, 90.00, 90.00 degrees
With the nearest neighbours (Å) after each atom.
Positions (direct):
B 0.9188 0.6330 0.5366  2 B 1.80
B 0.5812 0.1330 0.9634  2 B 1.80
B 0.4188 0.3670 0.4634  2 B 1.80
B 0.0812 0.8670 0.0366  2 B 1.80
B 0.0812 0.3670 0.4634  2 B 1.80
B 0.4188 0.8670 0.0366  2 B 1.80
B 0.5812 0.6330 0.5366  2 B 1.80
B 0.9188 0.1330 0.9634  2 B 1.80
Tc 0.7500 0.8115 0.8172  6 B 2.24-2.27
Tc 0.7500 0.3115 0.6828  6 B 2.24-2.27
Tc 0.2500 0.1885 0.1828  6 B 2.24-2.27
Tc 0.2500 0.6885 0.3172  6 B 2.24-2.27
Pu 0.7500 0.0013 0.3382  8 B 2.60-2.84, 1 Tc 2.80
Pu 0.7500 0.5013 0.1618  8 B 2.60-2.84, 1 Tc 2.80
Pu 0.2500 0.9987 0.6618  8 B 2.60-2.84, 1 Tc 2.80
Pu 0.2500 0.4987 0.8382  8 B 2.60-2.84, 1 Tc 2.80

Computed properties:
- Calculated density: 12.572 g/cm³
- Formation energy: -0.323 eV/atom
- DFT total energy: -645.4 eV/cell